[1]
Computed, not measured: Mn3TlS after structural relaxation at the PBEsol level of DFT.

Cell lengths 5.0515, 5.0515, 5.0515 Å; angles 90.00, 90.00, 90.00 degrees
Last column: nearest neighbours and their distance in Å.
Space group Pm-3m (No. 221)
Inequivalent atoms, fractional coordinates:
Mn  0.0000  0.0000  0.5000 (multiplicity 3)  2 Tl 2.53
Tl  0.0000  0.0000  0.0000 (multiplicity 1)  6 Mn 2.53
S  0.5000  0.5000  0.5000 (multiplicity 1)  12 Mn 3.57

Summary:
**Calculated total energy**: -5.76 eV/atom
**E_form (uncorrected)**: 1497 meV per atom
**Volume**: 129 Å³/cell

=====

[2]
Computed, not measured: Sr2HfCrBi after structural relaxation at the PBEsol level of DFT.

Cell lengths 5.6762, 5.6762, 4.7942 Å; angles 90.00, 90.00, 90.00 degrees
Last column: nearest neighbours and their distance in Å.
Space group P4/mmm (No. 123)
Inequivalent atoms, fractional coordinates:
Sr  0.0000  0.5000  0.0000 (multiplicity 2)  2 Cr 2.84
Hf  0.0000  0.0000  0.5000 (multiplicity 1)  2 Cr 2.40
Cr  0.0000  0.0000  0.0000 (multiplicity 1)  2 Hf 2.40
Bi  0.5000  0.5000  0.5000 (multiplicity 1)  8 Sr 3.71, 4 Hf 4.01

Summary:
**Calculated total energy**: -5.17 eV/atom
**Volume**: 154 Å³/cell
**DFT formation energy**: 572 meV/atom

=====

[3]
Computed, not measured: FeP2SO after structural relaxation at the PBEsol level of DFT.

Cell lengths 4.5495, 4.5495, 3.2789 Å; angles 90.00, 90.00, 90.00 degrees
Last column: nearest neighbours and their distance in Å.
Space group P4/mmm (No. 123)
Inequivalent atoms, fractional coordinates:
Fe  0.0000  0.0000  0.0000 (multiplicity 1)  8 P 2.80
P  0.0000  0.5000  0.5000 (multiplicity 2)  2 S 2.27
S  0.5000  0.5000  0.5000 (multiplicity 1)  2 O 1.64
O  0.5000  0.5000  0.0000 (multiplicity 1)  2 S 1.64

Summary:
**Calculated total energy**: -5.47 eV/atom
**E_form (uncorrected)**: 562 meV per atom
**Volume**: 68 Å³/cell

=====

[4]
Computed, not measured: Si2AsCl after structural relaxation at the PBEsol level of DFT.

Cell lengths 4.2274, 3.6836, 5.8835 Å; angles 90.00, 109.88, 90.00 degrees
Last column: nearest neighbours and their distance in Å.
Space group Pm (No. 6)
Inequivalent atoms, fractional coordinates:
Si  0.0000  0.0000  0.0000 (multiplicity 1)  1 As 2.37, 2 Si 2.41
Si  0.3888  0.5000  0.0764 (multiplicity 1)  1 Cl 2.17, 2 Si 2.41
As  0.7584  0.0000  0.3099 (multiplicity 1)  3 Si 2.37-2.50
Cl  0.4718  0.5000  0.7322 (multiplicity 1)  1 Si 2.17

Summary:
**Calculated total energy**: -4.69 eV/atom
**E_form (uncorrected)**: -40 meV per atom
**Volume**: 86 Å³/cell
**Offset from the most stable computed form**: 0.00 kJ/mol of atoms